{
  "formula": "Li2CrSbN",
  "functional": "PBE-GGA",
  "state": "relaxed",
  "lattice": [[-3.5726, 4.0899, -0.3436], [-1.0852, -0.6726, 3.2775], [3.7453, 3.4350, 1.9450]],
  "species": ["Sb", "N", "Li", "Li", "Cr"],
  "frac_coords": [[0.5000, 0.5000, 0.5000], [0.0000, 0.5000, 0.0000], [0.0000, 0.0000, 0.5000], [0.5000, 0.0000, 0.0000], [0.0000, 0.0000, 0.0000]],
  "dft_energy_ev_per_atom": -4.918,
  "relative_energy_ev_per_atom": 0.678,
  "formation_energy_uncorrected_ev_per_atom": 0.26,
  "total_magnetization_mub_per_fu": 3.03
}


{
  "formula": "Li2CrSbN",
  "functional": "PBE-GGA",
  "state": "relaxed",
  "lattice": [[4.2327, 0.0000, 0.0000], [0.0000, 4.2327, 0.0000], [0.0000, 0.0000, 3.7791]],
  "species": ["Sb", "N", "Li", "Li", "Cr"],
  "frac_coords": [[0.5000, 0.5000, 0.5000], [0.0000, 0.0000, 0.0000], [0.0000, 0.5000, 0.0000], [0.5000, 0.0000, 0.0000], [0.0000, 0.0000, 0.5000]],
  "dft_energy_ev_per_atom": -5.596,
  "relative_energy_ev_per_atom": 0.000,
  "formation_energy_uncorrected_ev_per_atom": -0.42,
  "total_magnetization_mub_per_fu": 2.00
}


{
  "formula": "LiScCrN2",
  "functional": "PBE-GGA",
  "state": "relaxed",
  "lattice": [[4.0704, 0.0000, 0.0000], [0.0000, 4.2388, 0.0000], [0.0000, 0.0000, 4.0704]],
  "species": ["Sc", "Cr", "Li", "N", "N"],
  "frac_coords": [[0.0000, 0.0000, 0.0000], [0.5000, 0.5000, 0.5000], [0.0000, 0.5000, 0.0000], [0.0000, 0.0000, 0.5000], [0.5000, 0.0000, 0.0000]],
  "dft_energy_ev_per_atom": -5.560,
  "formation_energy_uncorrected_ev_per_atom": 1.34,
  "total_magnetization_mub_per_fu": 0.01
}


{
  "formula": "LiCrSeN2",
  "functional": "PBE-GGA",
  "state": "relaxed",
  "lattice": [[3.6012, 0.0000, 0.0000], [0.0000, 3.6012, 0.0000], [0.0000, 0.0000, 4.5492]],
  "species": ["Cr", "Li", "Se", "N", "N"],
  "frac_coords": [[0.5000, 0.5000, 0.5000], [0.0000, 0.0000, 0.0000], [0.0000, 0.0000, 0.5000], [0.0000, 0.5000, 0.0000], [0.5000, 0.0000, 0.0000]],
  "dft_energy_ev_per_atom": -4.622,
  "relative_energy_ev_per_atom": 1.619,
  "formation_energy_uncorrected_ev_per_atom": 1.71,
  "total_magnetization_mub_per_fu": 0.26
}


{
  "formula": "LiCrSeN2",
  "functional": "PBE-GGA",
  "state": "relaxed",
  "lattice": [[-0.3124, -2.1325, -2.9329], [-1.8453, -2.4406, 1.9711], [-4.4295, 2.3501, -1.2369]],
  "species": ["Cr", "Li", "Se", "N", "N"],
  "frac_coords": [[0.0000, 0.0000, 0.0000], [0.5000, 0.5000, 0.5000], [0.0000, 0.0000, 0.5000], [0.0000, 0.5000, 0.0000], [0.5000, 0.0000, 0.0000]],
  "dft_energy_ev_per_atom": -6.241,
  "relative_energy_ev_per_atom": 0.000,
  "formation_energy_uncorrected_ev_per_atom": 0.09,
  "total_magnetization_mub_per_fu": 0.21
}


{
  "formula": "Li2CrSiN4",
  "functional": "PBE-GGA",
  "state": "relaxed",
  "lattice": [[4.6099, 0.0006, -0.0025], [-0.0005, 4.6102, -0.0023], [-2.3025, -2.3035, 4.0494]],
  "species": ["Li", "Li", "Cr", "Si", "N", "N", "N", "N"],
  "frac_coords": [[0.4860, 0.9860, 0.9718], [0.2358, 0.2358, 0.4717], [0.7359, 0.7358, 0.4718], [0.9859, 0.4859, 0.9718], [0.6797, 0.6081, 0.7196], [0.8637, 0.4318, 0.2239], [0.3603, 0.7921, 0.2239], [0.0400, 0.1115, 0.7196]],
  "dft_energy_ev_per_atom": -7.203,
  "formation_energy_uncorrected_ev_per_atom": -0.68,
  "total_magnetization_mub_per_fu": 0.00
}